(1)
First-principles (PBE) data for a relaxed structure of Dy4Tl5Rh2, as listed in Alexandria.

Computed properties:
The formation enthalpy at 0 K comes out at -516 kJ/mol of formula units.

Cell and atoms, written as CIF:
```
data_Dy4Tl5Rh2
_space_group_name_H-M_alt 'P 1 2/m 1'
_space_group_IT_number 10
_cell_length_a 7.901
_cell_length_b 3.616
_cell_length_c 9.766
_cell_angle_alpha 90.00
_cell_angle_beta 94.70
_cell_angle_gamma 90.00
loop_
_space_group_symop_operation_xyz
'x,y,z'
'-x,-y,-z'
'-x,y,-z'
'x,-y,z'
loop_
_atom_site_label
_atom_site_type_symbol
_atom_site_fract_x
_atom_site_fract_y
_atom_site_fract_z
Dy1 Dy 0.188 0.000 0.341
Dy2 Dy 0.208 0.000 0.935
Tl1 Tl 0.155 0.500 0.639
Tl2 Tl 0.458 0.500 0.166
Tl3 Tl 0.500 0.500 0.500
Rh1 Rh 0.079 0.500 0.138
```



(2)
First-principles (PBE) data for a relaxed structure of NiPC, as listed in Alexandria.

Computed properties:
The formation enthalpy at 0 K comes out at 114 kJ/mol of formula units.

Cell and atoms, written as CIF:
```
data_NiPC
_space_group_name_H-M_alt 'P -1'
_space_group_IT_number 2
_cell_length_a 2.923
_cell_length_b 2.923
_cell_length_c 9.505
_cell_angle_alpha 86.64
_cell_angle_beta 86.89
_cell_angle_gamma 60.02
loop_
_space_group_symop_operation_xyz
'x,y,z'
'-x,-y,-z'
loop_
_atom_site_label
_atom_site_type_symbol
_atom_site_fract_x
_atom_site_fract_y
_atom_site_fract_z
Ni1 Ni 0.178 0.181 0.398
P1 P 0.472 0.462 0.769
C1 C 0.201 0.212 0.171
```



(3)
First-principles (PBE) data for a relaxed structure of BeSi2Cl, as listed in Alexandria.

Computed properties:
The energy above the most stable polymorph in this dataset is 144.0 meV per atom. The value obtained for the uncorrected formation energy is 0.324 eV/atom.

Cell and atoms, written as CIF:
```
data_BeSi2Cl
_space_group_name_H-M_alt 'P 1 m 1'
_space_group_IT_number 6
_cell_length_a 2.954
_cell_length_b 4.565
_cell_length_c 4.728
_cell_angle_alpha 90.00
_cell_angle_beta 101.21
_cell_angle_gamma 90.00
loop_
_space_group_symop_operation_xyz
'x,y,z'
'x,-y,z'
loop_
_atom_site_label
_atom_site_type_symbol
_atom_site_fract_x
_atom_site_fract_y
_atom_site_fract_z
Be1 Be 0.000 0.000 0.000
Si1 Si 0.312 0.000 0.537
Si2 Si 0.650 0.500 0.550
Cl1 Cl 0.883 0.500 0.031
```